Entry 1:
## Pu2ThPb (PBE)

Data for Pu2ThPb after structural relaxation.

DFT total energy	-40.2	eV for the cell shown
energy relative to the elements	-2.499	kcal/mol of atoms
ΔE to the lowest computed polymorph	0.00	kJ per mole of atoms

Cell: 5.0190 4.7263 4.7263 Å, 90.00 90.00 90.00°
Closest atoms and distances in Å follow each position.
Fractional coordinates of all 4 atoms:
Pu: 0.0000 0.0000 0.5000  4 Pu 3.34, 4 Pb 3.45, 4 Th 3.45
Pb: 0.5000 0.5000 0.5000  4 Th 3.34, 8 Pu 3.45
Pu: 0.0000 0.5000 0.0000  4 Pu 3.34, 4 Pb 3.45, 4 Th 3.45
Th: 0.5000 0.0000 0.0000  4 Pb 3.34, 8 Pu 3.45

=====

Entry 2:
## TiAgRu2W (PBE)

Data for TiAgRu2W after structural relaxation.

DFT total energy	-34.9	eV for the cell shown
energy relative to the elements	34.101	kcal/mol of atoms

Cell: 4.6085 5.0020 4.6085 Å, 90.00 90.00 90.00°
Closest atoms and distances in Å follow each position.
Fractional coordinates of all 5 atoms:
Ru: 0.0000 0.0000 0.5000  2 W 2.30
Ru: 0.5000 0.0000 0.0000  2 W 2.30
W: 0.0000 0.0000 0.0000  4 Ru 2.30, 2 Ag 2.50
Ti: 0.5000 0.5000 0.5000  4 Ag 3.26, 8 Ru 3.40
Ag: 0.0000 0.5000 0.0000  2 W 2.50

=====

Entry 3:
## Rb2Nb2TlO7 (PBE)

Data for Rb2Nb2TlO7 after structural relaxation.

DFT total energy	-83.4	eV for the cell shown
ΔE_f (raw)	-2.023	eV per atom

Cell: 4.0486 4.0486 11.9733 Å, 80.46 80.46 89.96°
Closest atoms and distances in Å follow each position.
Fractional coordinates of all 12 atoms:
Tl: 0.0000 0.0000 0.0000  12 O 2.86-2.92
O: 0.6740 0.6740 0.6469  1 Nb 1.87
O: 0.5804 0.0852 0.8214  2 Nb 1.97-2.09
Nb: 0.3937 0.3937 0.1925  5 O 1.87-2.09
O: 0.9148 0.4196 0.1786  2 Nb 1.97-2.09
O: 0.4196 0.9148 0.1786  2 Nb 1.97-2.09
Rb: 0.1936 0.1936 0.6171  9 O 2.86-3.16
O: 0.3260 0.3260 0.3531  1 Nb 1.87
Nb: 0.6063 0.6063 0.8075  5 O 1.87-2.09
O: 0.0852 0.5804 0.8214  2 Nb 1.97-2.09
O: 0.5000 0.5000 0.0000  2 Nb 2.24
Rb: 0.8064 0.8064 0.3829  9 O 2.86-3.16

=====

Entry 4:
## Cs2TlBi (PBE)

Data for Cs2TlBi after structural relaxation.

DFT total energy	-15.1	eV for the cell shown
energy relative to the elements	2.306	kcal/mol of atoms
ΔE to the lowest computed polymorph	39.42	kJ per mole of atoms

Cell: 13.4753 13.4753 13.4753 Å, 155.99 155.99 34.21°
Closest atoms and distances in Å follow each position.
Fractional coordinates of all 8 atoms:
Bi: 0.7500 0.2500 0.5000  4 Cs 3.80, 4 Tl 3.96
Cs: 0.3750 0.3837 0.5087  2 Tl 3.76, 2 Bi 3.80, 4 Cs 3.89-4.03
Cs: 0.8750 0.8663 0.4913  2 Tl 3.76, 2 Bi 3.80, 4 Cs 3.89-4.03
Cs: 0.6163 0.1250 0.9913  2 Tl 3.76, 2 Bi 3.80, 4 Cs 3.89-4.03
Tl: 0.5000 0.5000 0.0000  4 Cs 3.76, 4 Bi 3.96
Tl: 0.2500 0.7500 0.5000  4 Cs 3.76, 4 Bi 3.96
Bi: 0.0000 0.0000 0.0000  4 Cs 3.80, 4 Tl 3.96
Cs: 0.1337 0.6250 0.0087  2 Tl 3.76, 2 Bi 3.80, 4 Cs 3.89-4.03

=====

Entry 5:
## Ca4ZrMo (PBE)

Data for Ca4ZrMo after structural relaxation.

DFT total energy	-20.9	eV for the cell shown
energy relative to the elements	24.990	kcal/mol of atoms

Cell: 6.4376 6.4376 6.4376 Å, 60.00 60.00 60.00°
Closest atoms and distances in Å follow each position.
Fractional coordinates of all 6 atoms:
Ca: 0.8764 0.3745 0.3745  6 Ca 3.21-3.23
Ca: 0.3745 0.3745 0.3745  6 Ca 3.21-3.23
Zr: 0.0000 0.0000 0.0000  12 Ca 3.77, 4 Mo 3.94
Ca: 0.3745 0.3745 0.8764  6 Ca 3.21-3.23
Mo: 0.7500 0.7500 0.7500  12 Ca 3.78, 4 Zr 3.94
Ca: 0.3745 0.8764 0.3745  6 Ca 3.21-3.23

=====

Entry 6:
## TcCl3 (PBE)

Data for TcCl3 after structural relaxation.

DFT total energy	-16.0	eV for the cell shown
ΔE_f (raw)	-0.024	eV per atom
ΔE to the lowest computed polymorph	66.43	kJ per mole of atoms

Cell: 9.0547 9.0547 9.0547 Å, 20.73 20.73 20.73°
Closest atoms and distances in Å follow each position.
Fractional coordinates of all 4 atoms:
Cl: 0.2747 0.2747 0.2747  3 Tc 2.44
Cl: 0.7253 0.7253 0.7253  3 Tc 2.44
Tc: 0.0000 0.0000 0.0000  6 Cl 2.44
Cl: 0.5000 0.5000 0.5000  12 Cl 3.26-3.43